Compound: Nd2Th2Ru3
Source: Alexandria via LeMat-Bulk
Functional: PBE-GGA
Structure: optimized geometry

The structure in POSCAR format:
```
Nd2Th2Ru3
1.0
4.0734 0.0000 0.0000
-2.0345 6.5045 0.0000
-0.0114 -1.1977 7.1046
Nd Th Ru
2 2 3
direct
0.1297 0.2574 0.3615
0.8703 0.7426 0.6385
0.3690 0.7375 0.1037
0.6310 0.2625 0.8963
0.0000 0.0000 0.0000
0.2270 0.4553 0.7421
0.7730 0.5447 0.2579
```

Output
Space group = No. 2
Energy relative to the elements = -6.2 kcal/mol of atoms
N(E_F) = 2.1 states/eV per cell

***

Compound: AcHoPuTh
Source: Alexandria via LeMat-Bulk
Functional: PBE-GGA
Structure: optimized geometry

The structure in POSCAR format:
```
AcHoPuTh
1.0
8.1390 0.0000 0.0000
0.0000 8.1390 0.0000
0.0000 0.0000 8.1390
Ac Ho Pu Th
4 4 4 4
direct
0.0000 0.0000 0.0000
0.0000 0.5000 0.5000
0.5000 0.0000 0.5000
0.5000 0.5000 0.0000
0.2500 0.2500 0.2500
0.2500 0.7500 0.7500
0.7500 0.2500 0.7500
0.7500 0.7500 0.2500
0.0000 0.0000 0.5000
0.0000 0.5000 0.0000
0.5000 0.0000 0.0000
0.5000 0.5000 0.5000
0.2500 0.2500 0.7500
0.2500 0.7500 0.2500
0.7500 0.2500 0.2500
0.7500 0.7500 0.7500
```

Output
Space group = No. 216
Energy relative to the elements = 7.5 kcal/mol of atoms
N(E_F) = 60.8 states/eV per cell

***

Compound: KSb2As
Source: Alexandria via LeMat-Bulk
Functional: PBE-GGA
Structure: optimized geometry

The structure in POSCAR format:
```
KSb2As
1.0
4.2086 0.0000 0.0000
0.0000 5.4849 0.0000
0.0000 0.0000 9.7647
K Sb As
2 4 2
direct
0.0000 0.0000 0.0000
0.5000 0.5000 0.0000
0.0000 0.5000 0.2908
0.0000 0.5000 0.7092
0.5000 0.0000 0.2908
0.5000 0.0000 0.7092
0.0000 0.0000 0.5000
0.5000 0.5000 0.5000
```

Output
Space group = No. 65
ΔE_f (raw) = 0.128 eV/atom
N(E_F) = 3.7 states/eV per cell

***

Compound: Cr3Tc
Source: Alexandria via LeMat-Bulk
Functional: PBE-GGA
Structure: optimized geometry

The structure in POSCAR format:
```
Cr3Tc
1.0
4.3419 0.0000 0.0000
0.0000 4.7861 0.0000
0.0000 0.0000 4.8802
Cr Tc
6 2
direct
0.2500 0.0159 0.1437
0.2500 0.2500 0.6664
0.2500 0.4841 0.1437
0.7500 0.5159 0.8563
0.7500 0.7500 0.3336
0.7500 0.9841 0.8563
0.2500 0.7500 0.6345
0.7500 0.2500 0.3655
```

Output
Space group = No. 59
Energy relative to the elements = 6.3 kcal/mol of atoms
N(E_F) = 12.1 states/eV per cell

***

Compound: CePtPb
Source: Alexandria via LeMat-Bulk
Functional: PBE-GGA
Structure: optimized geometry

The structure in POSCAR format:
```
CePtPb
1.0
4.7951 0.0000 0.0000
0.0000 9.4997 0.0000
0.0000 0.0000 6.3747
Ce Pt Pb
4 4 4
direct
0.0000 0.1835 0.2500
0.0000 0.8165 0.7500
0.5000 0.3165 0.7500
0.5000 0.6835 0.2500
0.0000 0.1365 0.7500
0.0000 0.8635 0.2500
0.5000 0.3635 0.2500
0.5000 0.6365 0.7500
0.0000 0.5000 0.0000
0.0000 0.5000 0.5000
0.5000 0.0000 0.0000
0.5000 0.0000 0.5000
```

Output
Space group = No. 63
Energy relative to the elements = -16.9 kcal/mol of atoms
N(E_F) = 18.0 states/eV per cell

***

Compound: CsPbI3
Source: Alexandria via LeMat-Bulk
Functional: PBE-GGA
Structure: optimized geometry

The structure in POSCAR format:
```
CsPbI3
1.0
6.3856 0.0000 0.0000
0.0000 6.3856 0.0000
0.0000 0.0000 6.3856
Cs Pb I
1 1 3
direct
0.0000 0.0000 0.0000
0.5000 0.5000 0.5000
0.0000 0.5000 0.5000
0.5000 0.0000 0.5000
0.5000 0.5000 0.0000
```

Output
Space group = No. 221
ΔE_f (raw) = -0.999 eV/atom
N(E_F) = 0.0 states/eV per cell

***

Compound: YBeIn2
Source: Alexandria via LeMat-Bulk
Functional: PBE-GGA
Structure: optimized geometry

The structure in POSCAR format:
```
YBeIn2
1.0
4.3364 0.0000 0.0000
-2.1682 3.7554 0.0000
0.0000 0.0000 16.7598
Y Be In
3 3 6
direct
0.0000 0.0000 0.0000
0.3333 0.6667 0.6667
0.6667 0.3333 0.3333
0.0000 0.0000 0.7807
0.3333 0.6667 0.4474
0.6667 0.3333 0.1141
0.0000 0.0000 0.2136
0.0000 0.0000 0.4473
0.3333 0.6667 0.1140
0.3333 0.6667 0.8803
0.6667 0.3333 0.5470
0.6667 0.3333 0.7806
```

Output
Space group = No. 160
Energy relative to the elements = -1.9 kcal/mol of atoms
N(E_F) = 5.1 states/eV per cell

***

Compound: CdBRu2Pb
Source: Alexandria via LeMat-Bulk
Functional: PBE-GGA
Structure: optimized geometry

The structure in POSCAR format:
```
CdBRu2Pb
1.0
5.0210 0.0000 0.0000
0.0000 5.0210 0.0000
0.0000 0.0000 4.0001
Cd B Ru Pb
1 1 2 1
direct
0.0000 0.0000 0.0000
0.0000 0.0000 0.5000
0.0000 0.5000 0.0000
0.5000 0.0000 0.0000
0.5000 0.5000 0.5000
```

Output
Space group = No. 123
Energy relative to the elements = 42.7 kcal/mol of atoms
N(E_F) = 4.6 states/eV per cell

***

Compound: CuSiOsPt
Source: Alexandria via LeMat-Bulk
Functional: PBE-GGA
Structure: optimized geometry

The structure in POSCAR format:
```
CuSiOsPt
1.0
5.9739 0.0000 0.0000
0.0000 5.9739 0.0000
0.0000 0.0000 5.9739
Cu Si Os Pt
4 4 4 4
direct
0.0000 0.0000 0.0000
0.0000 0.5000 0.5000
0.5000 0.0000 0.5000
0.5000 0.5000 0.0000
0.0000 0.0000 0.5000
0.0000 0.5000 0.0000
0.5000 0.0000 0.0000
0.5000 0.5000 0.5000
0.2500 0.2500 0.7500
0.2500 0.7500 0.2500
0.7500 0.2500 0.2500
0.7500 0.7500 0.7500
0.2500 0.2500 0.2500
0.2500 0.7500 0.7500
0.7500 0.2500 0.7500
0.7500 0.7500 0.2500
```

Output
Space group = No. 216
ΔE_f (raw) = -0.160 eV/atom
N(E_F) = 4.2 states/eV per cell

***

Compound: Cd5Sb3
Source: Alexandria via LeMat-Bulk
Functional: PBE-GGA
Structure: optimized geometry

The structure in POSCAR format:
```
Cd5Sb3
1.0
9.3420 0.0000 0.0000
-4.6710 8.0904 0.0000
0.0000 0.0000 5.7119
Cd Sb
10 6
direct
0.0000 0.2372 0.2500
0.0000 0.7628 0.7500
0.2372 0.0000 0.2500
0.2372 0.2372 0.7500
0.3333 0.6667 0.0000
0.3333 0.6667 0.5000
0.6667 0.3333 0.0000
0.6667 0.3333 0.5000
0.7628 0.0000 0.7500
0.7628 0.7628 0.2500
0.0000 0.3650 0.7500
0.0000 0.6350 0.2500
0.3650 0.0000 0.7500
0.3650 0.3650 0.2500
0.6350 0.0000 0.2500
0.6350 0.6350 0.7500
```

Output
Space group = No. 193
E above lowest polymorph = 92.5 meV per atom
ΔE_f (raw) = 0.117 eV/atom
N(E_F) = 8.6 states/eV per cell

***

Compound: Ac2PrEr
Source: Alexandria via LeMat-Bulk
Functional: PBE-GGA
Structure: optimized geometry

The structure in POSCAR format:
```
Ac2PrEr
1.0
3.8275 0.0000 0.0000
-1.9137 3.3147 0.0000
0.0000 0.0000 36.6994
Ac Pr Er
6 3 3
direct
0.0000 0.0000 0.0000
0.0000 0.0000 0.1709
0.3333 0.6667 0.6667
0.3333 0.6667 0.8375
0.6667 0.3333 0.3333
0.6667 0.3333 0.5042
0.0000 0.0000 0.7533
0.3333 0.6667 0.4200
0.6667 0.3333 0.0866
0.0000 0.0000 0.5848
0.3333 0.6667 0.2515
0.6667 0.3333 0.9182
```

Output
Space group = No. 160
Energy relative to the elements = 1.3 kcal/mol of atoms
E above lowest polymorph = 16.3 meV per atom
N(E_F) = 19.1 states/eV per cell

***

Compound: ZnAg14Au
Source: Alexandria via LeMat-Bulk
Functional: PBE-GGA
Structure: optimized geometry

The structure in POSCAR format:
```
ZnAg14Au
1.0
9.4896 0.0000 0.0000
0.0000 2.9200 5.1101
0.0000 -2.9200 5.1101
Zn Ag Au
1 14 1
direct
0.0000 0.0000 0.0000
0.0000 0.4996 0.9990
0.0000 0.9990 0.4996
0.2466 0.1635 0.6676
0.2466 0.6676 0.1635
0.2476 0.1637 0.1637
0.2516 0.6654 0.6654
0.5000 0.3290 0.8309
0.5000 0.3305 0.3305
0.5000 0.8309 0.3290
0.5000 0.8312 0.8312
0.7484 0.6654 0.6654
0.7524 0.1637 0.1637
0.7534 0.1635 0.6676
0.7534 0.6676 0.1635
0.0000 0.5004 0.5004
```

Output
Space group = No. 38
Energy relative to the elements = 0.0 kcal/mol of atoms
N(E_F) = 5.4 states/eV per cell

***

| no. | raw total energy (eV/atom) |
| --- | --- |
| 1 | -7.72 |
| 2 | -7.28 |
| 3 | -3.37 |
| 4 | -9.53 |
| 5 | -5.96 |
| 6 | -2.84 |
| 7 | -4.00 |
| 8 | -4.12 |
| 9 | -6.86 |
| 10 | -2.00 |
| 11 | -4.33 |
| 12 | -2.78 |